(1)
Below is Sm2Ho8Tc after structural relaxation, with properties calculated at the PBE level.

density	8.7	g cm⁻³
total magnetization	0.00	μB per cell
total DFT energy (no corrections)	-56.2	eV per cell

```
11
Lattice="-2.8833 3.6136 -2.8830 0.3334 -3.9325 -5.2625 -6.2976 -6.0865 3.8174" Properties=species:S:1:pos:R:3 pbc="T T T"
Ho -6.6529 -1.7620 -0.7028
Tc -1.4417 1.8068 -1.4415
Ho -0.4563 -1.2212 -1.0744
Ho -2.1946 -4.6435 -3.6253
Sm -3.4575 -3.2795 -0.6527
Ho -3.6293 0.0919 -1.4031
Sm -5.3901 -3.1260 -3.6754
Ho -5.2183 -6.4974 -2.9250
Ho -6.4023 -5.0827 0.0324
Ho -8.3913 -5.1843 -3.2537
Ho -2.4453 -1.3229 -4.3605
```

---

(2)
Below is NdY5Er12 after structural relaxation, with properties calculated at the PBE level.

density	7.7	g cm⁻³
total magnetization	0.00	μB per cell
total DFT energy (no corrections)	-91.4	eV per cell

```
18
Lattice="-4.9651 0.8390 -14.1077 2.7368 -4.5435 -9.1781 -3.1892 -3.7393 0.9004" Properties=species:S:1:pos:R:3 pbc="T T T"
Er -2.2443 -4.4833 -12.7082
Er -3.9091 -4.2017 -17.4415
Er -2.4317 -1.7291 -1.9273
Er 0.1557 -2.7434 -10.8432
Nd 0.0000 0.0000 -0.0001
Er -2.9857 -5.7148 -20.4583
Er -6.5045 -3.1783 -8.5215
Er -5.5732 -4.7004 -11.5423
Er 0.9086 -1.5181 -3.0852
Y -4.8113 -2.6931 -14.3692
Y -0.6061 -4.7507 -8.0163
Er -6.3260 -5.9257 -19.3003
Er -1.6498 0.2780 -4.6860
Y -3.9355 -4.9706 -6.8600
Y -4.0771 -1.4502 -6.6037
Er -1.5083 -3.2422 -4.9440
Y -1.4819 -2.4732 -15.5256
Er -3.1731 -2.9605 -9.6773
```

---

(3)
Below is Os2CCl after structural relaxation, with properties calculated at the PBE level.

density	14.7	g cm⁻³
total magnetization	0.00	μB per cell
uncorrected formation energy	1.949	eV/atom
total DFT energy (no corrections)	-25.7	eV per cell

```
4
Lattice="0.0000 2.8907 2.8907 2.8907 0.0000 2.8907 2.8907 2.8907 0.0000" Properties=species:S:1:pos:R:3 pbc="T T T"
Cl 2.8907 2.8907 2.8907
Os 4.3360 4.3360 4.3360
Os 1.4453 1.4453 1.4453
C 0.0000 0.0000 0.0000
```

---

(4)
Below is Dy12Co6Pb after structural relaxation, with properties calculated at the PBE level.

density	9.2	g cm⁻³
total magnetization	0.00	μB per cell
total DFT energy (no corrections)	-106.7	eV per cell

```
19
Lattice="-0.2710 1.2798 -8.2789 -6.2247 -5.1482 2.2365 -0.8602 7.3215 3.9885" Properties=species:S:1:pos:R:3 pbc="T T T"
Dy -3.3580 -0.7548 -0.6279
Dy -2.3779 2.3369 1.0602
Pb 0.0000 0.0000 0.0000
Co -3.9804 4.4170 1.4513
Dy -2.2083 0.2666 -5.5476
Co -1.3649 4.5458 -1.4430
Co -4.2752 0.6503 2.4308
Dy -2.0517 5.2285 -4.1606
Dy -5.1476 3.1865 3.4937
Dy -4.9780 1.1162 -3.1141
Dy -5.8973 -2.2670 -2.9900
Dy -1.4586 5.7202 0.9360
Dy -5.7464 1.5871 0.4294
Dy -5.3042 -1.7754 2.1066
Dy -3.9979 4.2079 -1.4261
Co -5.9910 -1.0927 -0.6110
Dy -1.6095 1.8661 -2.4834
Co -3.3755 -0.9638 -3.5052
Co -3.0807 2.8029 -4.4848
```